The following is a DFT calculation (PBE) of YSc2Ni after structural relaxation.

magnetic moment = 0.00 μB/f.u.
energy = -6.12 eV/atom
DOS(E_F) = 6.85 states/eV/cell
polymorph energy (0 for the lowest one) = 361 meV/atom
symmetry = No. 119

Cell: 5.7193 5.7193 5.7193 Å, 136.83 136.83 62.69°
Positions (direct):
Y 0.0000 0.0000 0.0000
Sc 0.5000 0.5000 0.0000
Sc 0.7500 0.2500 0.5000
Ni 0.2500 0.7500 0.5000